[1]
VASP calculation (PBE) on a geometry-optimized Te3C2 structure.

Calculated values
offset from the most stable computed form	0.000	eV/atom
spin magnetization	0.0	Bohr magnetons per cell
formation energy (no corrections)	1.270	eV/atom
volume	21.19	Å³ per atom

Cell and atoms, written as CIF:
```
data_Te3C2
_chemical_formula_sum 'Te24 C16'
_cell_length_a 10.626
_cell_length_b 12.955
_cell_length_c 6.158
_cell_angle_alpha 90.00
_cell_angle_beta 90.00
_cell_angle_gamma 90.00
_symmetry_space_group_name_H-M 'F d d 2'
_symmetry_Int_Tables_number 43
_symmetry_space_group_name_Hall 'F 2 -2d'
loop_
_atom_site_label
_atom_site_fract_x
_atom_site_fract_y
_atom_site_fract_z
_atom_site_occupancy
Te1 0.000 0.000 0.000 1
Te2 0.087 0.284 0.774 1
C1 0.079 0.114 0.251 1
```

***

[2]
VASP calculation (PBE) on a geometry-optimized SrInSe2Br structure.

Calculated values
offset from the most stable computed form	0.000	eV/atom
spin magnetization	0.0	Bohr magnetons per cell
formation energy (no corrections)	-0.906	eV/atom
volume	31.09	Å³ per atom

Cell and atoms, written as CIF:
```
data_SrInSe2Br
_chemical_formula_sum 'Sr1 In1 Se2 Br1'
_cell_length_a 5.339
_cell_length_b 5.339
_cell_length_c 5.455
_cell_angle_alpha 90.00
_cell_angle_beta 90.00
_cell_angle_gamma 90.00
_symmetry_space_group_name_H-M 'P 4/m m m'
_symmetry_Int_Tables_number 123
_symmetry_space_group_name_Hall '-P 4 2'
loop_
_atom_site_label
_atom_site_fract_x
_atom_site_fract_y
_atom_site_fract_z
_atom_site_occupancy
Sr1 0.000 0.000 0.000 1
In1 0.500 0.500 0.500 1
Se1 0.000 0.500 0.500 1
Br1 0.500 0.500 0.000 1
```

***

[3]
VASP calculation (PBE) on a geometry-optimized ZrCd2As structure.

Calculated values
ΔH_f (0 K)	-102	meV/atom
spin magnetization	0.0	Bohr magnetons per cell
volume	21.91	Å³ per atom

Cell and atoms, written as CIF:
```
data_ZrCd2As
_chemical_formula_sum 'Zr3 Cd6 As3'
_cell_length_a 3.2211
_cell_length_b 3.2211
_cell_length_c 29.2586
_cell_angle_alpha 90.00
_cell_angle_beta 90.00
_cell_angle_gamma 120.00
_symmetry_space_group_name_H-M 'R 3 m'
_symmetry_Int_Tables_number 160
_symmetry_space_group_name_Hall 'R 3 -2"'
loop_
_atom_site_label
_atom_site_fract_x
_atom_site_fract_y
_atom_site_fract_z
_atom_site_occupancy
Zr1 0.0000 0.0000 0.0000 1
Cd1 0.0000 0.0000 0.2467 1
Cd2 0.0000 0.0000 0.4920 1
As1 0.0000 0.0000 0.7396 1
```

***

[4]
VASP calculation (PBE) on a geometry-optimized Ti2ZnS structure.

Calculated values
offset from the most stable computed form	0.000	eV/atom
spin magnetization	0.0	Bohr magnetons per cell
formation energy (no corrections)	-0.688	eV/atom
volume	16.19	Å³ per atom

Cell and atoms, written as CIF:
```
data_Ti2ZnS
_chemical_formula_sum 'Ti6 Zn3 S3'
_cell_length_a 3.3678
_cell_length_b 3.3678
_cell_length_c 19.7745
_cell_angle_alpha 90.00
_cell_angle_beta 90.00
_cell_angle_gamma 120.00
_symmetry_space_group_name_H-M 'R -3 m'
_symmetry_Int_Tables_number 166
_symmetry_space_group_name_Hall '-R 3 2"'
loop_
_atom_site_label
_atom_site_fract_x
_atom_site_fract_y
_atom_site_fract_z
_atom_site_occupancy
Ti1 0.0000 0.0000 0.2354 1
Zn1 0.0000 0.0000 0.0000 1
S1 0.0000 0.0000 0.5000 1
```

***

[5]
VASP calculation (PBE) on a geometry-optimized NaMg3Cd2 structure.

Calculated values
ΔH_f (0 K)	-46	meV/atom
offset from the most stable computed form	0.000	eV/atom
spin magnetization	0.0	Bohr magnetons per cell
volume	23.26	Å³ per atom

Cell and atoms, written as CIF:
```
data_NaMg3Cd2
_chemical_formula_sum 'Na4 Mg12 Cd8'
_cell_length_a 16.324
_cell_length_b 4.449
_cell_length_c 8.982
_cell_angle_alpha 90.00
_cell_angle_beta 121.12
_cell_angle_gamma 90.00
_symmetry_space_group_name_H-M 'C 1 2/m 1'
_symmetry_Int_Tables_number 12
loop_
_symmetry_equiv_pos_as_xyz
'x,y,z'
'-x,-y,-z'
'-x,y,-z'
'x,-y,z'
'x+1/2,y+1/2,z'
'-x+1/2,-y+1/2,-z'
'-x+1/2,y+1/2,-z'
'x+1/2,-y+1/2,z'
loop_
_atom_site_label
_atom_site_fract_x
_atom_site_fract_y
_atom_site_fract_z
_atom_site_occupancy
Na1 0.082 0.000 0.465 1
Mg1 0.085 0.000 0.966 1
Mg2 0.086 0.500 0.211 1
Mg3 0.247 0.000 0.870 1
Cd1 0.092 0.500 0.744 1
Cd2 0.245 0.000 0.366 1
```

***

[6]
VASP calculation (PBE) on a geometry-optimized Ga2TcW structure.

Calculated values
ΔH_f (0 K)	583	meV/atom
offset from the most stable computed form	0.507	eV/atom
spin magnetization	0.0	Bohr magnetons per cell
volume	16.32	Å³ per atom

Cell and atoms, written as CIF:
```
data_Ga2TcW
_chemical_formula_sum 'Ga8 Tc4 W4'
_cell_length_a 6.948
_cell_length_b 6.948
_cell_length_c 5.409
_cell_angle_alpha 90.00
_cell_angle_beta 90.00
_cell_angle_gamma 90.00
_symmetry_space_group_name_H-M 'I -4 2 d'
_symmetry_Int_Tables_number 122
_symmetry_space_group_name_Hall 'I -4 2bw'
loop_
_atom_site_label
_atom_site_fract_x
_atom_site_fract_y
_atom_site_fract_z
_atom_site_occupancy
Ga1 0.242 0.750 0.125 1
Tc1 0.000 0.000 0.000 1
W1 0.000 0.000 0.500 1
```

***

[7]
VASP calculation (PBE) on a geometry-optimized Ca2Pr15Tm2 structure.

Calculated values
ΔH_f (0 K)	218	meV/atom
spin magnetization	0.0	Bohr magnetons per cell
volume	37.69	Å³ per atom

Cell and atoms, written as CIF:
```
data_Ca2Pr15Tm2
_chemical_formula_sum 'Ca6 Pr45 Tm6'
_cell_length_a 11.7488
_cell_length_b 11.7488
_cell_length_c 17.9698
_cell_angle_alpha 90.00
_cell_angle_beta 90.00
_cell_angle_gamma 120.00
_symmetry_space_group_name_H-M 'R -3 m'
_symmetry_Int_Tables_number 166
_symmetry_space_group_name_Hall '-R 3 2"'
loop_
_atom_site_label
_atom_site_fract_x
_atom_site_fract_y
_atom_site_fract_z
_atom_site_occupancy
Ca1 0.0000 0.0000 0.1710 1
Pr1 0.0000 0.2930 0.5000 1
Pr2 0.0000 0.5000 0.0000 1
Pr3 0.0065 0.5032 0.6404 1
Tm1 0.0000 0.0000 0.4056 1
```

***

[8]
VASP calculation (PBE) on a geometry-optimized Dy2InSn3 structure.

Calculated values
ΔH_f (0 K)	-560	meV/atom
offset from the most stable computed form	0.000	eV/atom
spin magnetization	0.0	Bohr magnetons per cell
volume	25.89	Å³ per atom

Cell and atoms, written as CIF:
```
data_Dy2InSn3
_chemical_formula_sum 'Dy4 In2 Sn6'
_cell_length_a 4.380
_cell_length_b 15.298
_cell_length_c 4.636
_cell_angle_alpha 90.00
_cell_angle_beta 90.00
_cell_angle_gamma 90.00
_symmetry_space_group_name_H-M 'C m m m'
_symmetry_Int_Tables_number 65
_symmetry_space_group_name_Hall '-C 2 2'
loop_
_atom_site_label
_atom_site_fract_x
_atom_site_fract_y
_atom_site_fract_z
_atom_site_occupancy
Dy1 0.000 0.150 0.000 1
In1 0.000 0.000 0.500 1
Sn1 0.000 0.322 0.500 1
Sn2 0.000 0.500 0.000 1
```

***

Q: The highest volume belongs to which entry?
A: Ca2Pr15Tm2